PBE Sr2LiAlPd6, optimized geometry; uncorrected energy = -45.02 eV/f.u.; density of states at the Fermi level = 2.46 states/eV/cell; calculated formation energy = -0.484 eV/atom
1.0
6.840 -0.004 -0.286
0.003 6.367 -0.010
3.233 3.186 4.505
Sr Li Al Pd
2 1 1 6
Direct
0.328 0.776 0.448 Sr
0.672 0.224 0.552 Sr
0.000 0.000 0.000 Li
0.500 0.500 0.000 Al
0.178 0.247 0.067 Pd
0.822 0.753 0.933 Pd
0.824 0.754 0.493 Pd
0.822 0.315 0.933 Pd
0.176 0.246 0.507 Pd
0.178 0.685 0.067 Pd